1.
This record from Alexandria via LeMat-Bulk describes a relaxed Ho4In2N crystal. The functional is PBE.

Lattice parameters (Å, degrees): 4.7240 4.7240 8.5667 74.00 74.00 90.00
Element x y z (fractional)
N 0.0000 0.0000 0.0000
In 0.3624 0.3624 0.2753
Ho 0.5000 0.0000 0.0000
Ho 0.0000 0.5000 0.0000
Ho 0.8384 0.8384 0.3232
Ho 0.1616 0.1616 0.6768
In 0.6376 0.6376 0.7247

The value obtained for the total magnetization is 0.0 μB/f.u. The total DFT energy (no corrections) is -37.3 eV per cell.


2.
This record from Alexandria via LeMat-Bulk describes a relaxed Ho2InN crystal. The functional is PBE.

Lattice parameters (Å, degrees): 3.5126 3.5126 8.1070 77.49 77.49 60.00
Element x y z (fractional)
In 0.5000 0.5000 0.5000
Ho 0.2770 0.2770 0.1690
Ho 0.7230 0.7230 0.8310
N 0.0000 0.0000 0.0000

The value obtained for the total magnetization is 0.0 μB/f.u. The total DFT energy (no corrections) is -24.4 eV per cell.


3.
This record from Alexandria via LeMat-Bulk describes a relaxed Ho3InN4 crystal. The functional is PBE.

Lattice parameters (Å, degrees): 4.8505 4.8505 4.8505 90.00 90.00 90.00
Element x y z (fractional)
N 0.0000 0.0000 0.5000
N 0.5000 0.0000 0.0000
N 0.0000 0.5000 0.0000
Ho 0.5000 0.0000 0.5000
In 0.0000 0.0000 0.0000
Ho 0.0000 0.5000 0.5000
N 0.5000 0.5000 0.5000
Ho 0.5000 0.5000 0.0000

The value obtained for the total magnetization is 0.0 μB/f.u. The total DFT energy (no corrections) is -59.5 eV per cell.


4.
This record from Alexandria via LeMat-Bulk describes a relaxed Ho4InN crystal. The functional is PBE.

Lattice parameters (Å, degrees): 5.7240 6.9500 8.2372 105.70 110.30 90.01
Element x y z (fractional)
Ho 0.3472 0.5734 0.7775
Ho 0.4301 0.0735 0.7775
Ho 0.7807 0.3069 0.6142
Ho 0.5699 0.9265 0.2225
Ho 0.2193 0.6931 0.3858
Ho 0.6528 0.4266 0.2225
N 0.0000 0.5000 0.5000
Ho 0.1666 0.1932 0.3859
Ho 0.8334 0.8068 0.6141
N 0.5000 0.0000 0.5000
In 0.9576 0.7500 0.0000
In 0.0424 0.2500 0.0000

The value obtained for the total magnetization is 0.0 μB/f.u. The total DFT energy (no corrections) is -66.6 eV per cell.


5.
This record from Alexandria via LeMat-Bulk describes a relaxed Ho3InN crystal. The functional is PBE.

Lattice parameters (Å, degrees): 4.7916 4.7916 4.7916 90.00 90.00 90.00
Element x y z (fractional)
Ho 0.5000 0.5000 0.0000
In 0.0000 0.0000 0.0000
Ho 0.0000 0.5000 0.5000
N 0.5000 0.5000 0.5000
Ho 0.5000 0.0000 0.5000

The value obtained for the total magnetization is 0.0 μB/f.u. The total DFT energy (no corrections) is -29.8 eV per cell.


6.
This record from Alexandria via LeMat-Bulk describes a relaxed Ho2InN crystal. The functional is PBE.

Lattice parameters (Å, degrees): 3.1012 3.1012 7.8950 90.00 90.00 90.00
Element x y z (fractional)
N 0.5000 0.5000 0.0000
In 0.5000 0.5000 0.5000
Ho 0.0000 0.0000 0.8188
Ho 0.0000 0.0000 0.1812

The value obtained for the total magnetization is 0.0 μB/f.u. The total DFT energy (no corrections) is -22.3 eV per cell.


Number 1: ρ 8.52 g cm⁻³. Number 2: ρ 9.08 g cm⁻³. Number 3: ρ 9.69 g cm⁻³. Number 4: ρ 8.90 g cm⁻³. Number 5: ρ 9.41 g cm⁻³. Number 6: ρ 10.03 g cm⁻³.